No. 1
## SrPtBr2 (PBE-GGA)

Data for a geometry-optimized SrPtBr2 structure.

Lattice parameters (Å, degrees): 7.101 7.101 4.094 106.02 106.02 38.04
Element x y z (fractional)
Sr 0.000 0.000 0.000
Pt 0.173 0.173 0.668
Br 0.427 0.427 0.426
Br 0.722 0.722 0.780

Output
The calculation puts the raw formation energy at -1006 meV/atom. The polymorph energy (0 for the lowest one) is 0.1379 eV per atom.

No. 2
## La4In12Pt (PBE-GGA)

Data for a geometry-optimized La4In12Pt structure.

Lattice parameters (Å, degrees): 8.332 8.332 8.332 109.47 109.47 109.47
Element x y z (fractional)
La 0.000 0.000 0.500
La 0.000 0.500 0.000
La 0.500 0.000 0.000
La 0.500 0.500 0.500
In 0.000 0.286 0.286
In 0.000 0.714 0.714
In 0.250 0.500 0.750
In 0.250 0.750 0.500
In 0.286 0.000 0.286
In 0.286 0.286 0.000
In 0.500 0.250 0.750
In 0.500 0.750 0.250
In 0.714 0.000 0.714
In 0.714 0.714 0.000
In 0.750 0.250 0.500
In 0.750 0.500 0.250
Pt 0.000 0.000 0.000

Output
The density of states at the Fermi level comes out at 3.22 states/eV/f.u. The calculation puts the total energy at -0.146 hartree per atom.

No. 3
## Rb2Ru2O7 (PBE-GGA)

Data for a geometry-optimized Rb2Ru2O7 structure.

Lattice parameters (Å, degrees): 6.922 6.922 5.642 95.20 95.20 107.42
Element x y z (fractional)
Rb 0.194 0.806 0.000
Rb 0.806 0.194 0.000
Ru 0.292 0.292 0.576
Ru 0.708 0.708 0.424
O 0.144 0.408 0.746
O 0.154 0.154 0.302
O 0.408 0.144 0.746
O 0.500 0.500 0.500
O 0.592 0.856 0.254
O 0.846 0.846 0.698
O 0.856 0.592 0.254

Output
The calculation puts the raw formation energy at -1085 meV/atom. The density of states at the Fermi level comes out at 1.24 states/eV/f.u.

No. 4
## RbErO2 (PBE-GGA)

Data for a geometry-optimized RbErO2 structure.

Lattice parameters (Å, degrees): 6.923 6.923 6.923 28.95 28.95 28.95
Element x y z (fractional)
Rb 0.000 0.000 0.000
Er 0.830 0.830 0.830
O 0.220 0.220 0.220
O 0.438 0.438 0.438

Output
The calculation puts the raw formation energy at -2696 meV/atom. The density of states at the Fermi level comes out at 0.00 states/eV/f.u.

No. 5
## KLiB (PBE-GGA)

Data for a geometry-optimized KLiB structure.

Lattice parameters (Å, degrees): 7.355 7.355 7.355 144.57 144.57 50.98
Element x y z (fractional)
K 0.179 0.179 0.000
K 0.821 0.821 0.000
Li 0.000 0.500 0.500
Li 0.500 0.000 0.500
B 0.442 0.442 0.000
B 0.558 0.558 0.000

Output
The polymorph energy (0 for the lowest one) is 0.0000 eV per atom. The density of states at the Fermi level comes out at 0.13 states/eV/f.u.

No. 6
## TaAs2Os (PBE-GGA)

Data for a geometry-optimized TaAs2Os structure.

Lattice parameters (Å, degrees): 4.429 4.429 3.164 90.00 90.00 90.00
Element x y z (fractional)
Ta 0.000 0.000 0.000
As 0.000 0.500 0.500
As 0.500 0.000 0.500
Os 0.500 0.500 0.000

Output
The polymorph energy (0 for the lowest one) is 0.1044 eV per atom. The density of states at the Fermi level comes out at 2.15 states/eV/f.u.

no.,ρ (g/cm³)
1,6.04
2,7.94
3,3.16
4,6.88
5,1.42
6,13.94